[1]
CaSm2S4 | PBEsol | optimized geometry

## Properties
DOS(E_F) = 0.0 states/eV/cell
Raw formation energy = -2.1562 eV per atom
Final energy = -6.4211 eV per atom

Cell and atoms, written as extended XYZ:
```
14
Lattice="-3.760 5.519 -2.809 -3.568 -6.184 -1.226 0.788 0.978 7.135" Properties=species:S:1:pos:R:3 pbc="T T T"
Ca 0.000 0.000 0.000
S -2.940 -0.630 0.141
S -0.730 -1.161 2.457
S -5.022 1.545 1.077
Ca -3.222 -2.770 1.946
S -5.416 1.073 -2.492
S -4.716 -3.724 -0.487
Sm -3.135 2.041 -1.188
Sm -5.656 -0.885 -0.491
S -4.000 -1.022 4.009
S -2.613 3.964 3.153
Sm -2.716 1.031 2.582
S -0.725 1.203 4.543
Sm -1.573 -1.563 5.297
```

---

[2]
CaSnS3 | PBEsol | optimized geometry

## Properties
DOS(E_F) = 6.1 states/eV/cell
Raw formation energy = -0.0789 eV per atom
ΔE to the lowest computed polymorph = 1008 meV/atom
Final energy = -3.9879 eV per atom

Cell and atoms, written as extended XYZ:
```
5
Lattice="-3.998 3.091 -0.600 -2.464 -3.676 -2.514 -1.960 -1.684 4.384" Properties=species:S:1:pos:R:3 pbc="T T T"
S -1.232 -1.838 -1.257
Sn -4.211 -1.135 0.635
Ca 0.000 0.000 0.000
S -0.980 -0.842 2.192
S -1.999 1.545 -0.300
```

---

[3]
CaSnS3 | PBEsol | optimized geometry

## Properties
DOS(E_F) = 0.9 states/eV/cell
Raw formation energy = -0.8914 eV per atom
ΔE to the lowest computed polymorph = 195 meV/atom
Final energy = -4.8004 eV per atom

Cell and atoms, written as extended XYZ:
```
5
Lattice="4.602 0.000 0.000 0.000 4.602 0.000 0.000 0.000 6.052" Properties=species:S:1:pos:R:3 pbc="T T T"
S 0.000 0.000 1.196
S 0.000 2.301 3.839
Ca 2.301 2.301 2.214
S 2.301 0.000 3.839
Sn 0.000 0.000 4.887
```

---

[4]
CaSnS3 | PBEsol | optimized geometry

## Properties
Raw formation energy = -1.0867 eV per atom
ΔE to the lowest computed polymorph = 0 meV/atom
Final energy = -4.9957 eV per atom

Cell and atoms, written as extended XYZ:
```
20
Lattice="-3.313 0.580 -1.770 -3.769 -0.225 6.980 1.668 13.614 1.340" Properties=species:S:1:pos:R:3 pbc="T T T"
S -1.116 12.152 4.030
Sn -1.949 0.898 1.901
Sn -2.213 8.029 0.652
S -1.948 5.734 -0.596
S -1.352 13.954 0.984
Sn -3.201 5.941 5.898
S -4.234 10.847 5.359
S -1.358 6.808 2.733
S -4.056 7.162 3.817
S -2.971 3.776 4.757
S -1.180 3.122 1.191
S -4.062 0.015 5.566
Ca -1.882 9.269 4.520
S -3.466 8.235 7.146
S -4.298 1.818 2.520
Sn -3.466 13.071 4.649
S -2.443 10.193 1.793
Ca -5.651 2.675 5.332
Ca -3.532 4.701 2.030
Ca 0.237 11.294 1.218
```